# 1
# GGA-PBE BeRuRh2, optimized geometry
# Energy of formation (eV per atom): -0.278
# Symmetry: P4/mmm (123)
data_BeRuRh2
_chemical_formula_sum 'Be1 Ru1 Rh2'
_cell_length_a 2.737
_cell_length_b 2.737
_cell_length_c 6.626
_cell_angle_alpha 90.00
_cell_angle_beta 90.00
_cell_angle_gamma 90.00
_space_group_name_H-M_alt 'P 1'
_space_group_IT_number 1
loop_
_space_group_symop_operation_xyz
'x,y,z'
loop_
_atom_site_label
_atom_site_type_symbol
_atom_site_fract_x
_atom_site_fract_y
_atom_site_fract_z
_atom_site_occupancy
Ru1 Ru 0.500 0.500 0.250 1
Rh1 Rh 0.000 0.000 0.965 1
Rh2 Rh 0.000 0.000 0.535 1
Be1 Be 0.500 0.500 0.750 1

***

# 2
# GGA-PBE BeRuRh2, optimized geometry
# Energy of formation (eV per atom): -0.029
# Symmetry: Pmm2 (25)
data_BeRuRh2
_chemical_formula_sum 'Be1 Ru1 Rh2'
_cell_length_a 2.716
_cell_length_b 3.636
_cell_length_c 5.281
_cell_angle_alpha 90.00
_cell_angle_beta 90.00
_cell_angle_gamma 90.00
_space_group_name_H-M_alt 'P 1'
_space_group_IT_number 1
loop_
_space_group_symop_operation_xyz
'x,y,z'
loop_
_atom_site_label
_atom_site_type_symbol
_atom_site_fract_x
_atom_site_fract_y
_atom_site_fract_z
_atom_site_occupancy
Ru1 Ru 0.000 0.000 0.500 1
Rh1 Rh 0.000 0.000 0.971 1
Rh2 Rh 0.500 0.500 0.264 1
Be1 Be 0.500 0.500 0.766 1

***

# 3
# GGA-PBE BeSbRuRh, optimized geometry
# Symmetry: F-43m (216)
# Uncorrected formation energy (meV/atom): -248
data_BeSbRuRh
_chemical_formula_sum 'Be1 Sb1 Ru1 Rh1'
_cell_length_a 4.317
_cell_length_b 4.317
_cell_length_c 4.317
_cell_angle_alpha 60.00
_cell_angle_beta 60.00
_cell_angle_gamma 60.00
_space_group_name_H-M_alt 'P 1'
_space_group_IT_number 1
loop_
_space_group_symop_operation_xyz
'x,y,z'
loop_
_atom_site_label
_atom_site_type_symbol
_atom_site_fract_x
_atom_site_fract_y
_atom_site_fract_z
_atom_site_occupancy
Sb1 Sb 0.750 0.750 0.750 1
Rh1 Rh 0.500 0.500 0.500 1
Be1 Be 0.250 0.250 0.250 1
Ru1 Ru 0.000 0.000 0.000 1

***

# 4
# GGA-PBE BeSiRuRh, optimized geometry
# Symmetry: F-43m (216)
# Uncorrected formation energy (meV/atom): -733
data_BeSiRuRh
_chemical_formula_sum 'Be1 Si1 Ru1 Rh1'
_cell_length_a 4.051
_cell_length_b 4.051
_cell_length_c 4.051
_cell_angle_alpha 60.00
_cell_angle_beta 60.00
_cell_angle_gamma 60.00
_space_group_name_H-M_alt 'P 1'
_space_group_IT_number 1
loop_
_space_group_symop_operation_xyz
'x,y,z'
loop_
_atom_site_label
_atom_site_type_symbol
_atom_site_fract_x
_atom_site_fract_y
_atom_site_fract_z
_atom_site_occupancy
Ru1 Ru 0.750 0.750 0.750 1
Si1 Si 0.500 0.500 0.500 1
Rh1 Rh 0.250 0.250 0.250 1
Be1 Be 0.000 0.000 0.000 1

***

# 5
# GGA-PBE YBe2RuRh, optimized geometry
# Energy of formation (eV per atom): 2.100
# Symmetry: P4/mmm (123)
data_YBe2RuRh
_chemical_formula_sum 'Y1 Be2 Ru1 Rh1'
_cell_length_a 4.652
_cell_length_b 4.630
_cell_length_c 4.652
_cell_angle_alpha 90.00
_cell_angle_beta 90.00
_cell_angle_gamma 90.00
_space_group_name_H-M_alt 'P 1'
_space_group_IT_number 1
loop_
_space_group_symop_operation_xyz
'x,y,z'
loop_
_atom_site_label
_atom_site_type_symbol
_atom_site_fract_x
_atom_site_fract_y
_atom_site_fract_z
_atom_site_occupancy
Y1 Y 0.000 0.000 0.000 1
Ru1 Ru 0.000 0.500 0.000 1
Rh1 Rh 0.500 0.500 0.500 1
Be1 Be 0.000 0.000 0.500 1
Be2 Be 0.500 0.000 0.000 1

***

# 6
# GGA-PBE BeZn2RuRh, optimized geometry
# Energy of formation (eV per atom): 0.404
# Symmetry: P4/mmm (123)
data_BeZn2RuRh
_chemical_formula_sum 'Be1 Zn2 Ru1 Rh1'
_cell_length_a 4.156
_cell_length_b 3.996
_cell_length_c 4.156
_cell_angle_alpha 90.00
_cell_angle_beta 90.00
_cell_angle_gamma 90.00
_space_group_name_H-M_alt 'P 1'
_space_group_IT_number 1
loop_
_space_group_symop_operation_xyz
'x,y,z'
loop_
_atom_site_label
_atom_site_type_symbol
_atom_site_fract_x
_atom_site_fract_y
_atom_site_fract_z
_atom_site_occupancy
Ru1 Ru 0.000 0.500 0.000 1
Zn1 Zn 0.000 0.000 0.500 1
Zn2 Zn 0.500 0.000 0.000 1
Rh1 Rh 0.500 0.500 0.500 1
Be1 Be 0.000 0.000 0.000 1

***

# 7
# GGA-PBE ZrBeRuRh2, optimized geometry
# Energy of formation (eV per atom): -0.409
# Symmetry: P4/mmm (123)
data_ZrBeRuRh2
_chemical_formula_sum 'Zr1 Be1 Ru1 Rh2'
_cell_length_a 4.149
_cell_length_b 4.149
_cell_length_c 4.224
_cell_angle_alpha 90.00
_cell_angle_beta 90.00
_cell_angle_gamma 90.00
_space_group_name_H-M_alt 'P 1'
_space_group_IT_number 1
loop_
_space_group_symop_operation_xyz
'x,y,z'
loop_
_atom_site_label
_atom_site_type_symbol
_atom_site_fract_x
_atom_site_fract_y
_atom_site_fract_z
_atom_site_occupancy
Ru1 Ru 0.000 0.000 0.500 1
Rh1 Rh 0.000 0.500 0.000 1
Rh2 Rh 0.500 0.000 0.000 1
Zr1 Zr 0.500 0.500 0.500 1
Be1 Be 0.000 0.000 0.000 1

***

# 8
# GGA-PBE BeRhS3, optimized geometry
# Offset from the most stable computed form (meV per atom): 319
# Symmetry: Pm-3m (221)
# Uncorrected formation energy (meV/atom): 846
data_BeRhS3
_chemical_formula_sum 'Be1 Rh1 S3'
_cell_length_a 4.620
_cell_length_b 4.620
_cell_length_c 4.620
_cell_angle_alpha 90.00
_cell_angle_beta 90.00
_cell_angle_gamma 90.00
_space_group_name_H-M_alt 'P 1'
_space_group_IT_number 1
loop_
_space_group_symop_operation_xyz
'x,y,z'
loop_
_atom_site_label
_atom_site_type_symbol
_atom_site_fract_x
_atom_site_fract_y
_atom_site_fract_z
_atom_site_occupancy
Be1 Be 0.500 0.500 0.500 1
S1 S 0.000 0.500 0.000 1
S2 S 0.000 0.000 0.500 1
S3 S 0.500 0.000 0.000 1
Rh1 Rh 0.000 0.000 0.000 1